AsPd3Au after structural relaxation, computed with PBE-GGA.

Unit cell a=5.669 b=5.601 c=7.155 alpha=72.26 beta=66.89 gamma=59.43
Atoms (fractional coordinates):
As1 0.010 0.323 0.579
As2 0.864 0.048 0.137
Pd1 0.005 0.970 0.437
Pd2 0.591 0.337 0.890
Pd3 0.132 0.837 0.817
Pd4 0.097 0.336 0.896
Pd5 0.088 0.530 0.224
Pd6 0.510 0.961 0.438
Au1 0.471 0.463 0.501
Au2 0.616 0.845 0.842

Summary:
Total DFT energy (no corrections) (eV per atom): -4.839
Size of the total moment (μB/f.u.): 0.0
Calculated volume (Å³/f.u.): 89